1.
Compound: Nb2ReHPd
Source: the Alexandria database
Functional: PBE-GGA
Structure: relaxed

As for the energy: -41.62 eV for the cell shown. Its crystal system is tetragonal. As for the density of states at the Fermi level: 4.70 states/eV/cell.

It has space group P4/mmm (No. 123), with a = 4.183 Å, b = 4.183 Å, c = 3.901 Å, α = 90.00°, β = 90.00° and γ = 90.00°. The asymmetric unit holds Nb at (0.000, 0.500, 0.000), Re at (0.000, 0.000, 0.500), H at (0.000, 0.000, 0.000) and Pd at (0.500, 0.500, 0.500).

2.
Compound: LaCd2Se2
Source: the Alexandria database
Functional: PBE-GGA
Structure: relaxed

As for the energy: -33.12 eV for the cell shown. The value obtained for the uncorrected formation energy is -0.57 eV/atom. Its crystal system is tetragonal. As for the density of states at the Fermi level: 6.14 states/eV/cell.

It has space group P4/mbm (No. 127), with a = 8.266 Å, b = 8.266 Å, c = 3.836 Å, α = 90.00°, β = 90.00° and γ = 90.00°. The asymmetric unit holds La at (0.000, 0.000, 0.000), Cd at (0.112, 0.388, 0.000) and Se at (0.221, 0.721, 0.500).